Record 1
Here is an optimized crystal structure of CaVF5 from the Alexandria database. Energies are from PBEsol.

Results
size of the total moment = 2.000 μB per formula unit
energy relative to the lowest polymorph listed for this composition = 0 meV per atom
E_form (uncorrected) = -3320.3 meV/atom

Lattice parameters (Å, degrees): 8.9809 6.4900 7.5628 90.00 114.79 90.00
With the nearest neighbours (Å) after each atom.
Space group C2/c (No. 15)
Symmetry-distinct sites (fractional):
Ca  0.0000  0.0446  0.2500 x4  7 F 2.21-2.41
V  0.0000  0.5000  0.0000 x4  6 F 1.88-1.97
F  0.0000  0.4163  0.2500 x4  2 V 1.97
F  0.0107  0.2029  0.9699 x8  1 V 1.95
F  0.2298  0.4811  0.6175 x8  1 V 1.88

Record 2
Here is an optimized crystal structure of CdTc2Ag from the Alexandria database. Energies are from PBEsol.

Results
E_form = 0.54 eV per atom
size of the total moment = 0.000 μB per formula unit

Lattice parameters (Å, degrees): 3.2386 4.1412 9.3923 90.00 90.00 90.00
With the nearest neighbours (Å) after each atom.
Space group Immm (No. 71)
Symmetry-distinct sites (fractional):
Cd  0.0000  0.0000  0.0000 x2  4 Ag 2.63, 4 Tc 2.86
Tc  0.0000  0.5000  0.2486 x4  4 Tc 2.63, 2 Ag 2.84, 2 Cd 2.86
Ag  0.0000  0.0000  0.5000 x2  4 Cd 2.63, 4 Tc 2.84

Record 3
Here is an optimized crystal structure of Li2VO2F3 from the Alexandria database. Energies are from PBEsol.

Results
size of the total moment = 0.000 μB per formula unit
E_form (uncorrected) = -2628.7 meV/atom

Lattice parameters (Å, degrees): 7.0300 5.2523 9.4090 90.00 90.00 90.00
With the nearest neighbours (Å) after each atom.
Space group Pnma (No. 62)
Symmetry-distinct sites (fractional):
Li  0.0427  0.2500  0.2248 x4  2 F 1.93-2.13, 2 O 2.02
Li  0.1004  0.2500  0.9268 x4  1 F 1.86, 2 O 2.03
V  0.2110  0.2500  0.5547 x4  2 O 1.66, 1 F 1.84
O  0.1445  0.5071  0.0848 x8  1 V 1.66
F  0.0000  0.0000  0.5000 x4  2 V 2.05
F  0.0940  0.2500  0.7294 x4  1 V 1.84, 1 Li 1.86
F  0.2418  0.7500  0.8519 x4  2 Li 1.93-2.13, 1 V 1.94